Computed, not measured: PaMn2Be after structural relaxation at the GGA-PBE level of DFT.

Values from the calculation:
spin magnetization = 0.00 μB per cell
formation enthalpy at 0 K = -0.10 eV per atom
energy relative to the lowest polymorph listed for this composition = 0.000 eV/atom

Cell and atoms, written as POSCAR:
```
PaMn2Be
1.0
4.1278 0.0000 0.0000
2.0639 3.5748 0.0000
2.0639 1.1916 4.1496
Mn Be Pa
2 1 1
direct
0.8177 0.8177 0.5468
0.1823 0.1823 0.4532
0.5000 0.5000 0.5000
0.0000 0.0000 0.0000
```


Computed, not measured: PaMnBe after structural relaxation at the GGA-PBE level of DFT.

Values from the calculation:
spin magnetization = 0.00 μB per cell
formation enthalpy at 0 K = 0.06 eV per atom
energy relative to the lowest polymorph listed for this composition = 0.000 eV/atom

Cell and atoms, written as POSCAR:
```
PaMnBe
1.0
3.1240 0.0000 0.0000
0.0000 3.1240 0.0000
-1.5620 -1.5620 4.5336
Be Mn Pa
1 1 1
direct
0.5707 0.5707 0.1414
0.0137 0.0137 0.0274
0.2656 0.2656 0.5312
```


Computed, not measured: PaMnBe4 after structural relaxation at the GGA-PBE level of DFT.

Values from the calculation:
spin magnetization = 0.00 μB per cell
formation enthalpy at 0 K = 0.09 eV per atom

Cell and atoms, written as POSCAR:
```
PaMnBe4
1.0
4.6502 0.0000 0.0000
2.3251 4.0272 0.0000
2.3251 1.3424 3.7969
Be Pa Mn
4 1 1
direct
0.1150 0.6283 0.6283
0.6283 0.6283 0.1150
0.6283 0.1150 0.6283
0.6283 0.6283 0.6283
0.2500 0.2500 0.2500
0.0000 0.0000 0.0000
```


Computed, not measured: PaMnBe after structural relaxation at the GGA-PBE level of DFT.

Values from the calculation:
spin magnetization = 0.00 μB per cell
formation enthalpy at 0 K = 0.08 eV per atom
energy relative to the lowest polymorph listed for this composition = 0.021 eV/atom

Cell and atoms, written as POSCAR:
```
PaMnBe
1.0
3.6244 0.0000 0.0000
0.0000 3.8740 0.0000
0.0000 -1.9370 3.3550
Pa Mn Be
1 1 1
direct
0.6667 0.3333 0.6667
0.1666 0.6667 0.3333
0.1667 0.0000 0.0000
```


Computed, not measured: Pa2MnBe16 after structural relaxation at the GGA-PBE level of DFT.

Values from the calculation:
spin magnetization = 0.00 μB per cell
formation enthalpy at 0 K = -0.09 eV per atom

Cell and atoms, written as POSCAR:
```
Pa2MnBe16
1.0
-4.2474 0.2949 -4.0176
-3.7280 -3.4683 2.8881
-2.9094 4.3653 2.5977
Be Pa Mn
16 2 1
direct
0.0913 0.0913 0.0913
0.7249 0.2676 0.9982
0.2676 0.9982 0.7249
0.2676 0.7249 0.9982
0.6614 0.6614 0.1667
0.9982 0.2676 0.7249
0.9982 0.7249 0.2676
0.0047 0.4932 0.0047
0.3416 0.8465 0.3416
0.8465 0.3416 0.3416
0.0047 0.0047 0.4932
0.4932 0.0047 0.0047
0.6614 0.1667 0.6614
0.1667 0.6614 0.6614
0.7249 0.9982 0.2676
0.3416 0.3416 0.8465
0.6785 0.6785 0.6785
0.3469 0.3469 0.3469
0.8804 0.8804 0.8804
```


Computed, not measured: PaMnBe2 after structural relaxation at the GGA-PBE level of DFT.

Values from the calculation:
spin magnetization = 1.12 μB per cell
formation enthalpy at 0 K = 0.13 eV per atom

Cell and atoms, written as POSCAR:
```
PaMnBe2
1.0
3.7643 0.0000 0.0000
1.8821 3.2600 0.0000
1.8821 1.0867 4.7165
Pa Mn Be
1 1 2
direct
0.5000 0.5000 0.5000
0.0000 0.0000 0.0000
0.2993 0.2993 0.1022
0.7007 0.7007 0.8978
```


Computed, not measured: PaMn2Be after structural relaxation at the GGA-PBE level of DFT.

Values from the calculation:
spin magnetization = 1.95 μB per cell
formation enthalpy at 0 K = 0.05 eV per atom
energy relative to the lowest polymorph listed for this composition = 0.150 eV/atom

Cell and atoms, written as POSCAR:
```
PaMn2Be
1.0
4.2702 0.0000 0.0000
2.1351 3.6981 0.0000
2.1351 1.2327 3.4866
Be Mn Pa
1 2 1
direct
0.5000 0.5000 0.5000
0.2500 0.2500 0.2500
0.7500 0.7500 0.7500
0.0000 0.0000 0.0000
```


Computed, not measured: Pa2Mn16Be after structural relaxation at the GGA-PBE level of DFT.

Values from the calculation:
spin magnetization = 6.41 μB per cell
formation enthalpy at 0 K = -0.02 eV per atom

Cell and atoms, written as POSCAR:
```
Pa2Mn16Be
1.0
6.2278 -0.0966 0.5946
0.5313 6.2058 0.5946
-0.1068 -0.0966 6.2552
Mn Be Pa
16 1 2
direct
0.9993 0.2683 0.7286
0.3601 0.8713 0.3601
0.7286 0.9993 0.2683
0.5022 0.9974 0.9974
0.6415 0.6415 0.1261
0.9993 0.7286 0.2683
0.6415 0.1261 0.6415
0.3601 0.3601 0.8713
0.1261 0.6415 0.6415
0.1078 0.1078 0.1078
0.8713 0.3601 0.3601
0.7286 0.2683 0.9993
0.2683 0.9993 0.7286
0.2683 0.7286 0.9993
0.9974 0.9974 0.5022
0.9974 0.5022 0.9974
0.9006 0.9006 0.9006
0.3558 0.3558 0.3558
0.6456 0.6456 0.6456
```


Computed, not measured: PaMn2Be after structural relaxation at the GGA-PBE level of DFT.

Values from the calculation:
spin magnetization = 0.00 μB per cell
formation enthalpy at 0 K = 0.18 eV per atom
energy relative to the lowest polymorph listed for this composition = 0.273 eV/atom

Cell and atoms, written as POSCAR:
```
PaMn2Be
1.0
-1.6844 1.8713 1.5265
-1.0639 -2.2458 1.5792
4.6925 0.7616 4.2442
Pa Mn Be
1 2 1
direct
0.5000 0.5000 0.5000
0.0000 0.0000 0.1601
0.0000 0.0000 0.8399
0.5000 0.5000 0.0000
```


Computed, not measured: PaMnBeSi2 after structural relaxation at the GGA-PBE level of DFT.

Values from the calculation:
spin magnetization = 1.97 μB per cell
raw formation energy = -0.42 eV per atom

Cell and atoms, written as POSCAR:
```
PaMnBeSi2
1.0
-1.2789 -0.9634 3.5114
-1.9926 -2.9298 -1.5296
5.6558 -1.1135 -0.3664
Mn Pa Si Be
1 1 2 1
direct
0.7500 0.2500 0.5000
0.0000 0.0000 0.0000
0.6185 0.6185 0.2371
0.3815 0.3815 0.7629
0.2500 0.7500 0.5000
```


Computed, not measured: PaMn2BeSi2 after structural relaxation at the GGA-PBE level of DFT.

Values from the calculation:
spin magnetization = 3.55 μB per cell
raw formation energy = 0.24 eV per atom

Cell and atoms, written as POSCAR:
```
PaMn2BeSi2
1.0
-2.3356 -3.4328 -0.5356
3.0889 -2.3471 1.5734
-1.9669 0.5968 4.7519
Mn Si Be Pa
2 2 1 1
direct
0.5000 0.5000 0.7431
0.5000 0.5000 0.2569
0.0000 0.5000 0.0000
0.5000 0.0000 0.0000
0.0000 0.0000 0.0000
0.0000 0.0000 0.5000
```


Computed, not measured: Pa2MnBe4Si3 after structural relaxation at the GGA-PBE level of DFT.

Values from the calculation:
spin magnetization = 2.00 μB per cell
raw formation energy = -0.30 eV per atom

Cell and atoms, written as POSCAR:
```
Pa2MnBe4Si3
1.0
3.8414 0.0000 0.0000
0.0000 3.8414 0.0000
0.0000 0.0000 9.6234
Be Si Mn Pa
4 3 1 2
direct
0.0000 0.5000 0.3671
0.5000 0.0000 0.6329
0.5000 0.5000 0.0000
0.0000 0.0000 0.0000
0.5000 0.0000 0.8685
0.0000 0.5000 0.1315
0.0000 0.0000 0.5000
0.5000 0.5000 0.5000
0.5000 0.0000 0.2507
0.0000 0.5000 0.7493
```